Entry 1:
DFT (PBE) results for an optimized crystal structure of Y8TmIn2.

Unit cell a=8.9131 b=15.1155 c=5.6489 alpha=90.00 beta=114.77 gamma=90.00
Last column: nearest neighbours and their distance in Å.
Space group C2/m (No. 12)
One atom of each set of equivalent atoms:
Y: 0.0000 0.2165 0.0000 (multiplicity 4)  2 In 3.13, 1 Tm 3.27
Y: 0.0986 0.5000 0.7970 (multiplicity 4)  2 Y 3.07-3.42, 1 Tm 3.27, 2 In 3.30
Y: 0.2084 0.1152 0.6193 (multiplicity 8)  2 In 3.17-3.35, 4 Y 3.38-3.55
Tm: 0.0000 0.0000 0.0000 (multiplicity 2)  8 Y 3.27-3.64
In: 0.0000 0.3065 0.5000 (multiplicity 4)  8 Y 3.13-3.35

formation enthalpy at 0 K	-0.61	eV/f.u.
calculated total energy	-124.5	eV/cell
Fermi-level density of states	32.83	states/eV/cell
spin magnetization	0.00	μB/f.u.



Entry 2:
DFT (PBE) results for an optimized crystal structure of Tl2TcRh.

Unit cell a=8.9521 b=3.0718 c=5.5691 alpha=90.00 beta=100.88 gamma=90.00
Last column: nearest neighbours and their distance in Å.
Space group C2/m (No. 12)
One atom of each set of equivalent atoms:
Tl: 0.2488 0.0000 0.2481 (multiplicity 4)  3 Rh 2.84-2.85, 3 Tc 2.85-2.86, 4 Tl 3.07-3.17
Tc: 0.0000 0.0000 0.5000 (multiplicity 2)  6 Tl 2.85-2.86, 2 Tc 3.07, 4 Rh 3.18
Rh: 0.0000 0.5000 0.0000 (multiplicity 2)  6 Tl 2.84-2.85, 2 Rh 3.07, 4 Tc 3.18

formation enthalpy at 0 K	2.27	eV/f.u.
calculated total energy	-40.4	eV/cell
Fermi-level density of states	6.79	states/eV/cell
spin magnetization	0.00	μB/f.u.